1.
Na2LiAs2: relaxed, PBE.

Computed properties:
total energy = -32.0 eV/cell
energy above the lowest structure with this stoichiometry = 21.9 meV per atom
calculated formation energy = -2.13 eV/f.u.

Cell lengths 6.982, 6.982, 4.546 Å; angles 90.00, 90.00, 90.00 degrees
Sites, in units of the cell vectors:
Na 0.172 0.328 0.000
Na 0.328 0.828 0.000
Na 0.672 0.172 0.000
Na 0.828 0.672 0.000
Li 0.000 0.000 0.500
Li 0.500 0.500 0.500
As 0.124 0.624 0.500
As 0.376 0.124 0.500
As 0.624 0.876 0.500
As 0.876 0.376 0.500

2.
Na2LiAs2: relaxed, PBE.

Computed properties:
total energy = -30.0 eV/cell
energy above the lowest structure with this stoichiometry = 216.8 meV per atom
calculated formation energy = -1.16 eV/f.u.

Cell lengths 4.425, 4.425, 12.409 Å; angles 90.00, 90.00, 90.00 degrees
Sites, in units of the cell vectors:
Na 0.000 0.500 0.250
Na 0.000 0.500 0.750
Na 0.500 0.000 0.250
Na 0.500 0.000 0.750
Li 0.000 0.000 0.000
Li 0.500 0.500 0.500
As 0.000 0.000 0.405
As 0.000 0.000 0.595
As 0.500 0.500 0.095
As 0.500 0.500 0.905

3.
NaLi2As: relaxed, PBE.

Computed properties:
total energy = -20.6 eV/cell
calculated formation energy = -0.51 eV/f.u.

Cell lengths 3.108, 5.067, 12.868 Å; angles 90.00, 90.00, 90.00 degrees
Sites, in units of the cell vectors:
Na 0.000 0.000 0.000
Na 0.500 0.500 0.500
Li 0.000 0.000 0.311
Li 0.000 0.000 0.689
Li 0.500 0.500 0.189
Li 0.500 0.500 0.811
As 0.000 0.000 0.500
As 0.500 0.500 0.000

- calculated formation energy of number 2 (Na2LiAs2)?
  -1.16 eV/f.u.